No. 1
DFT (PBE-GGA) results for an optimized crystal structure of TbSeCl.

Values from the calculation:
- crystal system = tetragonal
- calculated volume (Å³/f.u.) = 86.6
- spin magnetization (μB/f.u.) = 0.0
- calculated total energy (eV for the cell shown) = -30.2
- formation energy (no corrections) (meV/atom) = -1707

Lattice parameters (Å, degrees): 3.555 3.555 13.703 90.00 90.00 90.00
Space group I4mm (No. 107)
Symmetry-distinct sites (fractional):
Tb 0.000 0.000 0.000
Se 0.000 0.000 0.395
Cl 0.000 0.000 0.630

=====

No. 2
DFT (PBE-GGA) results for an optimized crystal structure of Tb3Se3Cl.

Values from the calculation:
- crystal system = trigonal
- calculated volume (Å³/f.u.) = 182.7
- spin magnetization (μB/f.u.) = 0.0
- calculated total energy (eV for the cell shown) = -231.4
- formation energy (no corrections) (meV/atom) = -1767

Lattice parameters (Å, degrees): 8.5928 8.5928 17.1406 90.00 90.00 120.00
Space group R-3 (No. 148, hexagonal axes)
Symmetry-distinct sites (fractional):
Tb 0.0052 0.6391 0.0795
Se 0.0017 0.2946 0.0875
Cl 0.0000 0.0000 0.3269